The following is a PBE calculation of a geometry-optimized RbEu2Cu structure, from Alexandria via LeMat-Bulk.

extended XYZ file:
```
4
Lattice="2.1802 1.2588 11.7692 -2.1802 1.2588 11.7692 0.0000 -2.5175 11.7692" Properties=species:S:1:pos:R:3 pbc="T T T"
Rb 0.0000 0.0000 0.0000
Eu 0.0000 0.0000 4.2934
Eu 0.0000 0.0000 31.0142
Cu 0.0000 0.0000 17.6538
```

## Properties
- SG = R-3m (166)
- energy of formation (eV/f.u.) = 0.4